Entry 1:
## GaGe (PBE)

Data for a relaxed structure of GaGe.

abc: 12.1803 4.3148 5.2082
angles: 90.00 90.00 90.00
Space group Pmn2_1 (No. 31)
Symmetry-distinct sites (fractional):
Ga 0.0000 0.0024 0.0000 x2
Ga 0.1890 0.3982 0.3989 x4
Ge 0.0000 0.5137 0.2511 x2
Ge 0.1958 0.1020 0.8520 x4

Calculated values
**Energy relative to the lowest polymorph listed for this composition**: 0.0036 eV/atom
**V**: 22.81 Å³/atom
**Energy of formation**: 0.1513 eV per atom
**Calculated total energy**: -0.1349 hartree per atom


Entry 2:
## DyEr5TmSc2 (PBE)

Data for a relaxed structure of DyEr5TmSc2.

abc: 5.5350 21.1615 9.2553
angles: 90.00 90.00 90.00
Space group Cmc2_1 (No. 36)
Symmetry-distinct sites (fractional):
Dy 0.0000 0.1852 0.0000 x4
Er 0.0000 0.0118 0.9960 x4
Er 0.0000 0.2645 0.3181 x4
Er 0.0000 0.3067 0.7015 x4
Er 0.0000 0.3916 0.0299 x4
Er 0.0000 0.4689 0.7310 x4
Tm 0.0000 0.4019 0.4040 x4
Sc 0.0000 0.1129 0.3064 x4
Sc 0.0000 0.1352 0.6832 x4

Calculated values
**V**: 30.11 Å³/atom
**Energy of formation**: 0.1688 eV per atom
**Calculated total energy**: -0.1757 hartree per atom


Entry 3:
## LiMg2CdAg (PBE)

Data for a relaxed structure of LiMg2CdAg.

abc: 9.9710 4.6738 8.7062
angles: 90.00 92.45 90.00
Space group C2/m (No. 12)
Symmetry-distinct sites (fractional):
Li 0.1326 0.0000 0.4626 x4
Mg 0.0466 0.0000 0.8260 x4
Mg 0.1640 0.5000 0.2766 x4
Cd 0.2500 0.0000 0.0977 x4
Ag 0.0976 0.5000 0.6218 x4

Calculated values
**V**: 20.27 Å³/atom
**Energy of formation**: -0.1225 eV per atom
**Calculated total energy**: -0.0697 hartree per atom


Entry 4:
## AlSbTe2H (PBE)

Data for a relaxed structure of AlSbTe2H.

abc: 5.4067 5.4067 3.8278
angles: 90.00 90.00 90.00
Space group P4/mmm (No. 123)
Symmetry-distinct sites (fractional):
Al 0.0000 0.0000 0.0000 x1
Sb 0.5000 0.5000 0.0000 x1
Te 0.0000 0.5000 0.5000 x2
H 0.5000 0.5000 0.5000 x1

Calculated values
**Energy relative to the lowest polymorph listed for this composition**: 0.0000 eV/atom
**V**: 22.38 Å³/atom
**Calculated total energy**: -0.1130 hartree per atom


Entry 5:
## AsRu2Se (PBE)

Data for a relaxed structure of AsRu2Se.

abc: 5.4788 5.4788 11.0352
angles: 90.00 90.00 90.00
Space group I-42d (No. 122)
Symmetry-distinct sites (fractional):
As 0.0000 0.0000 0.0000 x4
Ru 0.2486 0.2500 0.1250 x8
Se 0.0000 0.0000 0.5000 x4

Calculated values
**Energy relative to the lowest polymorph listed for this composition**: 0.1608 eV/atom
**V**: 20.70 Å³/atom
**Calculated total energy**: -0.2409 hartree per atom
**ΔE_f (raw)**: 11.1 kJ per mole of atoms


Entry 6:
## LiOs2Cl (PBE)

Data for a relaxed structure of LiOs2Cl.

abc: 2.8202 4.6437 8.9931
angles: 90.00 90.00 90.00
Space group Imm2 (No. 44)
Symmetry-distinct sites (fractional):
Li 0.0000 0.0000 0.0000 x2
Os 0.0000 0.0000 0.4697 x2
Os 0.0000 0.5000 0.2050 x2
Cl 0.0000 0.5000 0.7423 x2

Calculated values
**Energy relative to the lowest polymorph listed for this composition**: 0.7161 eV/atom
**V**: 14.72 Å³/atom
**Calculated total energy**: -0.2101 hartree per atom
**ΔE_f (raw)**: 80.9 kJ per mole of atoms


Entry 7:
## ScAsSe2 (PBE)

Data for a relaxed structure of ScAsSe2.

abc: 3.9934 3.9934 10.2428
angles: 90.00 90.00 90.00
Space group I4/mmm (No. 139)
Symmetry-distinct sites (fractional):
Sc 0.0000 0.0000 0.0000 x2
As 0.0000 0.0000 0.5000 x2
Se 0.0000 0.5000 0.2500 x4

Calculated values
**V**: 20.42 Å³/atom
**Calculated total energy**: -0.1785 hartree per atom
**ΔE_f (raw)**: -35.6 kJ per mole of atoms


Entry 8:
## Ca3PN4 (PBE)

Data for a relaxed structure of Ca3PN4.

abc: 7.2273 6.2827 5.5169
angles: 90.00 90.00 90.00
Space group Pmn2_1 (No. 31)
Symmetry-distinct sites (fractional):
Ca 0.0000 0.1266 0.0000 x2
Ca 0.2419 0.3319 0.4949 x4
P 0.0000 0.8185 0.4666 x2
N 0.0000 0.0761 0.5456 x2
N 0.0000 0.7966 0.1694 x2
N 0.1934 0.7038 0.5705 x4

Calculated values
**Energy relative to the lowest polymorph listed for this composition**: 0.0458 eV/atom
**V**: 15.66 Å³/atom
**Calculated total energy**: -0.2364 hartree per atom
**ΔE_f (raw)**: -81.3 kJ per mole of atoms


Entry 9:
## CeSm2PaBi4 (PBE)

Data for a relaxed structure of CeSm2PaBi4.

abc: 7.8757 4.5334 7.8962
angles: 90.00 109.24 90.00
Space group P2/m (No. 10)
Symmetry-distinct sites (fractional):
Ce 0.0000 0.0000 0.0000 x1
Sm 0.0000 0.5000 0.5000 x1
Sm 0.5000 0.0000 0.5000 x1
Pa 0.5000 0.5000 0.0000 x1
Bi 0.2540 0.0000 0.7522 x2
Bi 0.2536 0.5000 0.2491 x2

Calculated values
**V**: 33.27 Å³/atom
**Energy of formation**: -0.6728 eV per atom
**Calculated total energy**: -0.2103 hartree per atom


Entry 10:
## Pr2Ge2Au (PBE)

Data for a relaxed structure of Pr2Ge2Au.

abc: 3.9033 4.3840 14.2055
angles: 90.00 90.00 90.00
Space group Amm2 (No. 38)
Symmetry-distinct sites (fractional):
Pr 0.0000 0.0000 0.0000 x2
Pr 0.0000 0.0000 0.2394 x2
Ge 0.5000 0.0000 0.6197 x2
Ge 0.5000 0.0000 0.8154 x2
Au 0.5000 0.0000 0.4208 x2

Calculated values
**Energy relative to the lowest polymorph listed for this composition**: 0.1086 eV/atom
**V**: 24.31 Å³/atom
**Energy of formation**: -0.6820 eV per atom
**Calculated total energy**: -0.1873 hartree per atom


Entry 11:
## SrScH2F8 (PBE)

Data for a relaxed structure of SrScH2F8.

abc: 4.4006 4.5454 8.2292
angles: 89.91 89.92 64.71
Space group P-1 (No. 2)
Symmetry-distinct sites (fractional):
Sr 0.0000 0.0000 0.0000 x1
Sc 0.0000 0.0000 0.5000 x1
H 0.5004 0.5003 0.2917 x2
F 0.2543 0.7343 0.7081 x2
F 0.2550 0.7351 0.2919 x2
F 0.2665 0.2589 0.5000 x2
F 0.3633 0.2945 0.0004 x2

Calculated values
**V**: 12.40 Å³/atom
**Calculated total energy**: -0.1913 hartree per atom


Entry 12:
## Ta2FePt (PBE)

Data for a relaxed structure of Ta2FePt.

abc: 2.8061 2.8061 8.1677
angles: 90.00 90.00 90.00
Space group P4mm (No. 99)
Symmetry-distinct sites (fractional):
Ta 0.0000 0.0000 0.0000 x1
Ta 0.5000 0.5000 0.2816 x1
Fe 0.0000 0.0000 0.5280 x1
Pt 0.5000 0.5000 0.7479 x1

Calculated values
**Energy relative to the lowest polymorph listed for this composition**: 0.1885 eV/atom
**V**: 16.08 Å³/atom
**Energy of formation**: -0.1751 eV per atom
**Calculated total energy**: -0.3575 hartree per atom


Entry 13:
## Li8Mg2Tl (PBE)

Data for a relaxed structure of Li8Mg2Tl.

abc: 7.6751 14.0881 5.1110
angles: 90.00 127.22 90.00
Space group C2/m (No. 12)
Symmetry-distinct sites (fractional):
Li 0.0000 0.2021 0.0000 x4
Li 0.0789 0.5000 0.7969 x4
Li 0.2203 0.1129 0.6740 x8
Mg 0.0000 0.3086 0.5000 x4
Tl 0.0000 0.0000 0.0000 x2

Calculated values
**Energy relative to the lowest polymorph listed for this composition**: 0.0678 eV/atom
**V**: 20.00 Å³/atom
**Energy of formation**: -0.0300 eV per atom
**Calculated total energy**: -0.0708 hartree per atom


Entry 14:
## Al2TlHg (PBE)

Data for a relaxed structure of Al2TlHg.

abc: 5.4066 5.4066 3.1391
angles: 90.00 90.00 90.00
Space group P4/mmm (No. 123)
Symmetry-distinct sites (fractional):
Al 0.0000 0.5000 0.0000 x2
Tl 0.0000 0.0000 0.5000 x1
Hg 0.5000 0.5000 0.5000 x1

Calculated values
**V**: 22.94 Å³/atom
**Energy of formation**: 0.2884 eV per atom
**Calculated total energy**: -0.0827 hartree per atom


Entry 15:
## LiPmLuFe (PBE)

Data for a relaxed structure of LiPmLuFe.

abc: 6.8690 6.8690 6.8690
angles: 90.00 90.00 90.00
Space group F-43m (No. 216)
Symmetry-distinct sites (fractional):
Li 0.0000 0.0000 0.0000 x4
Pm 0.2500 0.2500 0.2500 x4
Lu 0.2500 0.2500 0.7500 x4
Fe 0.0000 0.0000 0.5000 x4

Calculated values
**V**: 20.26 Å³/atom
**Energy of formation**: 0.1051 eV per atom
**Calculated total energy**: -0.1767 hartree per atom


Entry 16:
## Pm2TaAg (PBE)

Data for a relaxed structure of Pm2TaAg.

abc: 3.1677 3.1677 34.4020
angles: 90.00 90.00 120.00
Space group R-3m (No. 166, hexagonal axes)
Symmetry-distinct sites (fractional):
Pm 0.0000 0.0000 0.0874 x6
Ta 0.0000 0.0000 0.0000 x3
Ag 0.0000 0.0000 0.5000 x3

Calculated values
**V**: 24.91 Å³/atom
**Energy of formation**: 0.5863 eV per atom
**Calculated total energy**: -0.2008 hartree per atom


Entry 17:
## NaCePa4N8 (PBE)

Data for a relaxed structure of NaCePa4N8.

abc: 7.1131 7.1131 15.9484
angles: 90.00 90.00 120.00
Space group R3m (No. 160, hexagonal axes)
Symmetry-distinct sites (fractional):
Na 0.0000 0.0000 0.0000 x3
Ce 0.0000 0.0000 0.3843 x3
Pa 0.0000 0.0000 0.6067 x3
Pa 0.1676 0.3351 0.8318 x9
N 0.0000 0.0000 0.2361 x3
N 0.0000 0.0000 0.7531 x3
N 0.0212 0.5106 0.7686 x9
N 0.1734 0.3468 0.5714 x9

Calculated values
**V**: 16.64 Å³/atom
**Calculated total energy**: -0.3445 hartree per atom
**ΔE_f (raw)**: -133.8 kJ per mole of atoms


Entry 18:
## ZrCr2Tc (PBE)

Data for a relaxed structure of ZrCr2Tc.

abc: 6.1673 6.1673 6.1673
angles: 90.00 90.00 90.00
Space group Fm-3m (No. 225)
Symmetry-distinct sites (fractional):
Zr 0.0000 0.0000 0.0000 x4
Cr 0.2500 0.2500 0.2500 x8
Tc 0.0000 0.0000 0.5000 x4

Calculated values
**Energy relative to the lowest polymorph listed for this composition**: 0.0151 eV/atom
**V**: 14.66 Å³/atom
**Energy of formation**: 0.0803 eV per atom
**Calculated total energy**: -0.3476 hartree per atom


Entry 19:
## K8Hg (PBE)

Data for a relaxed structure of K8Hg.

abc: 15.0344 15.0344 5.0338
angles: 90.00 90.00 90.00
Space group I4/mmm (No. 139)
Symmetry-distinct sites (fractional):
K 0.0000 0.3313 0.0000 x8
K 0.1425 0.1425 0.5000 x8
Hg 0.0000 0.0000 0.0000 x2

Calculated values
**V**: 63.21 Å³/atom
**Energy of formation**: -0.0307 eV per atom
**Calculated total energy**: -0.0382 hartree per atom


Entry 20:
## HfMgI2O (PBE)

Data for a relaxed structure of HfMgI2O.

abc: 5.8855 5.8855 3.9797
angles: 90.00 90.00 90.00
Space group P4/mmm (No. 123)
Symmetry-distinct sites (fractional):
Hf 0.0000 0.0000 0.0000 x1
Mg 0.5000 0.5000 0.5000 x1
I 0.0000 0.5000 0.0000 x2
O 0.0000 0.0000 0.5000 x1

Calculated values
**Energy relative to the lowest polymorph listed for this composition**: 0.0000 eV/atom
**V**: 27.57 Å³/atom
**Calculated total energy**: -0.1823 hartree per atom
**ΔE_f (raw)**: -100.3 kJ per mole of atoms